# 1
Below is a relaxed structure of Pm2MnTc2N6, with properties calculated at the PBE level.

Calculated values
The total energy comes out at -8.4211 eV per atom. As for the density of states at the Fermi level: 0.339 states/eV per atom. Its symmetry is R-3m, No. 166.

Cell lengths 5.855, 5.855, 6.223 Å; angles 61.94, 61.94, 60.00 degrees
Sites, in units of the cell vectors:
Pm: 0.797 0.797 0.610
Pm: 0.203 0.203 0.390
Mn: 0.000 0.000 0.000
Tc: 0.427 0.427 0.718
Tc: 0.573 0.573 0.282
N: 0.769 0.769 0.241
N: 0.222 0.769 0.241
N: 0.769 0.222 0.241
N: 0.231 0.778 0.759
N: 0.778 0.231 0.759
N: 0.231 0.231 0.759

# 2
Below is a relaxed structure of Pm2MnTcN5, with properties calculated at the PBE level.

Calculated values
The total energy comes out at -8.5207 eV per atom. As for the density of states at the Fermi level: 0.240 states/eV per atom. Its symmetry is Cmc2_1, No. 36.

Cell lengths 3.292, 7.312, 9.562 Å; angles 90.00, 90.00, 103.01 degrees
Sites, in units of the cell vectors:
Pm: 0.883 0.766 0.808
Pm: 0.134 0.269 0.685
Pm: 0.117 0.234 0.308
Pm: 0.866 0.731 0.185
Mn: 0.783 0.566 0.499
Mn: 0.217 0.434 0.999
Tc: 0.570 0.139 0.980
Tc: 0.430 0.861 0.480
N: 0.346 0.692 0.996
N: 0.697 0.394 0.871
N: 0.519 0.038 0.799
N: 0.311 0.623 0.632
N: 0.977 0.953 0.554
N: 0.654 0.308 0.496
N: 0.303 0.606 0.371
N: 0.481 0.962 0.299
N: 0.689 0.377 0.132
N: 0.023 0.047 0.054

# 3
Below is a relaxed structure of Pm2ThMnN4, with properties calculated at the PBE level.

Calculated values
The total energy comes out at -8.5316 eV per atom. As for the density of states at the Fermi level: 0.483 states/eV per atom. Its symmetry is Cmcm, No. 63.

Cell lengths 3.492, 6.090, 12.064 Å; angles 90.00, 90.00, 106.66 degrees
Sites, in units of the cell vectors:
Pm: 0.369 0.739 0.549
Pm: 0.631 0.261 0.049
Pm: 0.631 0.261 0.451
Pm: 0.369 0.739 0.951
Th: 0.104 0.208 0.750
Th: 0.896 0.792 0.250
Mn: 0.837 0.673 0.750
Mn: 0.163 0.327 0.250
N: 0.278 0.556 0.134
N: 0.722 0.444 0.634
N: 0.722 0.444 0.866
N: 0.278 0.556 0.366
N: 0.000 0.000 0.500
N: 0.000 0.000 0.000
N: 0.444 0.887 0.750
N: 0.556 0.113 0.250

# 4
Below is a relaxed structure of PmTh2MnN5, with properties calculated at the PBE level.

Calculated values
The total energy comes out at -9.0333 eV per atom. As for the density of states at the Fermi level: 0.163 states/eV per atom. Its symmetry is I4/mcm, No. 140.

Cell lengths 6.754, 6.754, 7.395 Å; angles 117.17, 117.17, 90.00 degrees
Sites, in units of the cell vectors:
Pm: 0.250 0.250 0.500
Pm: 0.750 0.750 0.500
Th: 0.175 0.325 0.000
Th: 0.675 0.175 0.000
Th: 0.325 0.825 0.000
Th: 0.825 0.675 0.000
Mn: 0.250 0.750 0.500
Mn: 0.750 0.250 0.500
N: 0.002 0.502 0.289
N: 0.713 0.213 0.711
N: 0.998 0.498 0.711
N: 0.213 0.998 0.711
N: 0.498 0.713 0.711
N: 0.787 0.002 0.289
N: 0.502 0.287 0.289
N: 0.287 0.787 0.289
N: 0.500 0.500 0.000
N: 0.000 0.000 0.000

# 5
Below is a relaxed structure of PmU2MnN5, with properties calculated at the PBE level.

Calculated values
The total energy comes out at -9.8326 eV per atom. As for the density of states at the Fermi level: 0.523 states/eV per atom. Its symmetry is P4/mbm, No. 127.

Cell lengths 5.545, 6.437, 6.437 Å; angles 90.00, 90.00, 90.00 degrees
Sites, in units of the cell vectors:
Pm: 0.000 0.500 0.500
Pm: 0.000 0.000 0.000
U: 0.500 0.670 0.170
U: 0.500 0.170 0.330
U: 0.500 0.830 0.670
U: 0.500 0.330 0.830
Mn: 0.000 0.000 0.500
Mn: 0.000 0.500 0.000
N: 0.500 0.500 0.500
N: 0.500 0.000 0.000
N: 0.241 0.151 0.651
N: 0.241 0.849 0.349
N: 0.241 0.349 0.151
N: 0.241 0.651 0.849
N: 0.759 0.151 0.651
N: 0.759 0.651 0.849
N: 0.759 0.849 0.349
N: 0.759 0.349 0.151

# 6
Below is a relaxed structure of PmMn2VN4, with properties calculated at the PBE level.

Calculated values
The total energy comes out at -8.7779 eV per atom. As for the density of states at the Fermi level: 0.480 states/eV per atom. Its symmetry is Cmcm, No. 63.

Cell lengths 3.222, 6.049, 9.938 Å; angles 90.00, 90.00, 105.44 degrees
Sites, in units of the cell vectors:
Pm: 0.070 0.140 0.750
Pm: 0.930 0.860 0.250
Mn: 0.393 0.786 0.538
Mn: 0.607 0.214 0.038
Mn: 0.607 0.214 0.462
Mn: 0.393 0.786 0.962
V: 0.801 0.602 0.750
V: 0.199 0.398 0.250
N: 0.298 0.596 0.115
N: 0.702 0.404 0.615
N: 0.702 0.404 0.885
N: 0.298 0.596 0.385
N: 0.000 0.000 0.500
N: 0.000 0.000 0.000
N: 0.399 0.798 0.750
N: 0.601 0.202 0.250

# 7
Below is a relaxed structure of PmY2MnN4, with properties calculated at the PBE level.

Calculated values
The total energy comes out at -8.6879 eV per atom. As for the density of states at the Fermi level: 0.390 states/eV per atom. Its symmetry is Cmcm, No. 63.

Cell lengths 3.399, 5.979, 11.538 Å; angles 90.00, 90.00, 106.51 degrees
Sites, in units of the cell vectors:
Pm: 0.110 0.221 0.750
Pm: 0.890 0.779 0.250
Y: 0.368 0.736 0.544
Y: 0.632 0.264 0.044
Y: 0.632 0.264 0.456
Y: 0.368 0.736 0.956
Mn: 0.843 0.685 0.750
Mn: 0.157 0.315 0.250
N: 0.266 0.532 0.131
N: 0.734 0.468 0.631
N: 0.734 0.468 0.869
N: 0.266 0.532 0.369
N: 0.000 0.000 0.500
N: 0.000 0.000 0.000
N: 0.420 0.839 0.750
N: 0.580 0.161 0.250

# 8
Below is a relaxed structure of PmZr2MnN4, with properties calculated at the PBE level.

Calculated values
The total energy comes out at -9.3207 eV per atom. As for the density of states at the Fermi level: 0.452 states/eV per atom. Its symmetry is Cmcm, No. 63.

Cell lengths 3.270, 5.803, 11.085 Å; angles 90.00, 90.00, 106.37 degrees
Sites, in units of the cell vectors:
Pm: 0.104 0.208 0.750
Pm: 0.896 0.792 0.250
Zr: 0.368 0.736 0.547
Zr: 0.632 0.264 0.047
Zr: 0.632 0.264 0.453
Zr: 0.368 0.736 0.953
Mn: 0.841 0.683 0.750
Mn: 0.159 0.317 0.250
N: 0.267 0.534 0.120
N: 0.733 0.466 0.620
N: 0.733 0.466 0.880
N: 0.267 0.534 0.380
N: 0.000 0.000 0.500
N: 0.000 0.000 0.000
N: 0.429 0.859 0.750
N: 0.571 0.141 0.250

# 9
Below is a relaxed structure of Pr2MnN4, with properties calculated at the PBE level.

Calculated values
The total energy comes out at -8.3240 eV per atom. The relative energy among the computed polymorphs is 0.0 kJ per mole of atoms. As for the density of states at the Fermi level: 0.364 states/eV per atom. Its symmetry is Pnma, No. 62.

Cell lengths 5.484, 7.240, 9.967 Å; angles 90.00, 90.00, 90.00 degrees
Sites, in units of the cell vectors:
Pr: 0.750 0.510 0.313
Pr: 0.250 0.490 0.687
Pr: 0.250 0.990 0.813
Pr: 0.750 0.010 0.187
Pr: 0.750 0.851 0.572
Pr: 0.250 0.149 0.428
Pr: 0.250 0.649 0.072
Pr: 0.750 0.351 0.928
Mn: 0.750 0.778 0.923
Mn: 0.250 0.222 0.077
Mn: 0.250 0.722 0.423
Mn: 0.750 0.278 0.577
N: 0.496 0.682 0.852
N: 0.504 0.318 0.148
N: 0.504 0.818 0.352
N: 0.996 0.318 0.148
N: 0.496 0.182 0.648
N: 0.004 0.682 0.852
N: 0.004 0.182 0.648
N: 0.996 0.818 0.352
N: 0.750 0.016 0.916
N: 0.250 0.984 0.084
N: 0.250 0.484 0.416
N: 0.750 0.516 0.584
N: 0.750 0.195 0.412
N: 0.250 0.805 0.588
N: 0.250 0.305 0.912
N: 0.750 0.695 0.088

# 10
Below is a relaxed structure of Pr2MnN, with properties calculated at the PBE level.

Calculated values
The total energy comes out at -6.8830 eV per atom. As for the density of states at the Fermi level: 0.715 states/eV per atom. Its symmetry is R-3m, No. 166.

Cell lengths 3.529, 3.529, 9.308 Å; angles 79.07, 79.07, 60.00 degrees
Sites, in units of the cell vectors:
Pr: 0.114 0.114 0.658
Pr: 0.886 0.886 0.342
Mn: 0.000 0.000 0.000
N: 0.500 0.500 0.500

# 11
Below is a relaxed structure of Pr2MnN4, with properties calculated at the PBE level.

Calculated values
The total energy comes out at -8.2788 eV per atom. The relative energy among the computed polymorphs is 4.4 kJ per mole of atoms. As for the density of states at the Fermi level: 0.475 states/eV per atom. Its symmetry is P2_1/m, No. 11.

Cell lengths 5.681, 5.428, 7.092 Å; angles 90.00, 108.25, 90.00 degrees
Sites, in units of the cell vectors:
Pr: 0.714 0.750 0.039
Pr: 0.286 0.250 0.961
Pr: 0.219 0.250 0.436
Pr: 0.781 0.750 0.564
Mn: 0.270 0.750 0.207
Mn: 0.730 0.250 0.793
N: 0.473 0.505 0.265
N: 0.118 0.750 0.954
N: 0.882 0.250 0.046
N: 0.473 0.995 0.265
N: 0.929 0.250 0.648
N: 0.527 0.005 0.735
N: 0.527 0.495 0.735
N: 0.071 0.750 0.352

# 12
Below is a relaxed structure of Pr12Mn3N5, with properties calculated at the PBE level.

Calculated values
The total energy comes out at -6.6273 eV per atom. As for the density of states at the Fermi level: 0.692 states/eV per atom. Its symmetry is Ia-3d, No. 230.

Cell lengths 13.671, 13.671, 13.671 Å; angles 109.47, 109.47, 109.47 degrees
Sites, in units of the cell vectors:
Pr: 0.706 0.125 0.027
Pr: 0.321 0.527 0.402
Pr: 0.973 0.375 0.294
Pr: 0.527 0.206 0.125
Pr: 0.581 0.706 0.679
Pr: 0.973 0.598 0.179
Pr: 0.321 0.794 0.419
Pr: 0.098 0.919 0.125
Pr: 0.598 0.973 0.679
Pr: 0.706 0.581 0.179
Pr: 0.794 0.473 0.375
Pr: 0.821 0.902 0.027
Pr: 0.125 0.706 0.527
Pr: 0.375 0.402 0.081
Pr: 0.081 0.902 0.375
Pr: 0.419 0.125 0.598
Pr: 0.081 0.179 0.206
Pr: 0.473 0.679 0.098
Pr: 0.821 0.919 0.294
Pr: 0.125 0.419 0.098
Pr: 0.375 0.973 0.794
Pr: 0.598 0.625 0.419
Pr: 0.902 0.821 0.527
Pr: 0.794 0.321 0.919
Pr: 0.402 0.375 0.581
Pr: 0.098 0.179 0.473
Pr: 0.206 0.679 0.081
Pr: 0.179 0.081 0.706
Pr: 0.625 0.027 0.206
Pr: 0.875 0.581 0.902
Pr: 0.527 0.321 0.902
Pr: 0.581 0.875 0.402
Pr: 0.919 0.821 0.794
Pr: 0.919 0.098 0.625
Pr: 0.875 0.294 0.473
Pr: 0.179 0.098 0.973
Pr: 0.625 0.598 0.919
Pr: 0.402 0.027 0.321
Pr: 0.294 0.419 0.821
Pr: 0.206 0.527 0.625
Pr: 0.902 0.081 0.875
Pr: 0.679 0.206 0.581
Pr: 0.473 0.794 0.875
Pr: 0.027 0.402 0.821
Pr: 0.419 0.294 0.321
Pr: 0.027 0.625 0.706
Pr: 0.679 0.473 0.598
Pr: 0.294 0.875 0.973
Mn: 0.750 0.375 0.125
Mn: 0.875 0.750 0.125
Mn: 0.375 0.750 0.625
Mn: 0.250 0.125 0.375
Mn: 0.875 0.125 0.250
Mn: 0.375 0.625 0.250
Mn: 0.625 0.375 0.750
Mn: 0.125 0.875 0.750
Mn: 0.750 0.875 0.625
Mn: 0.625 0.250 0.375
Mn: 0.125 0.250 0.875
Mn: 0.250 0.625 0.875
N: 0.125 0.375 0.250
N: 0.000 0.500 0.000
N: 0.000 0.000 0.000
N: 0.375 0.250 0.125
N: 0.500 0.000 0.500
N: 0.500 0.500 0.000
N: 0.125 0.750 0.375
N: 0.750 0.125 0.875
N: 0.750 0.625 0.375
N: 0.375 0.125 0.750
N: 0.625 0.875 0.250
N: 0.500 0.500 0.500
N: 0.500 0.000 0.000
N: 0.000 0.000 0.500
N: 0.250 0.375 0.625
N: 0.250 0.875 0.125
N: 0.000 0.500 0.500
N: 0.875 0.250 0.625
N: 0.625 0.750 0.875
N: 0.875 0.625 0.750